Entry 1:
{"formula": "AcInGa2", "functional": "PBE-GGA", "state": "relaxed", "lattice": [[-3.9368, -1.8043, 1.7040], [-0.2348, -4.5371, 1.0082], [0.3706, -1.0507, 6.0987]], "species": ["Ac", "Ga", "Ga", "In"], "fractional_positions": [[0.5000, 0.5000, 0.5000], [0.7235, 0.7235, 0.8296], [0.2765, 0.2765, 0.1704], [0.0000, 0.0000, 0.0000]], "relative_energy_ev_per_atom": 0.101, "density_g_cm3": 7.626, "e_tot_ev_per_atom": -3.628, "dos_at_fermi_per_ev_cell": 1.3, "formation_enthalpy_0k_mev_per_atom": -403}

Entry 2:
{"formula": "Li2CeNi9", "functional": "PBE-GGA", "state": "relaxed", "lattice": [[4.8197, 0.0000, 0.0000], [2.4098, 4.1740, 0.0000], [2.4098, 1.3913, 7.8319]], "species": ["Ni", "Ni", "Ni", "Ni", "Ni", "Ni", "Ni", "Ni", "Ni", "Ce", "Li", "Li"], "fractional_positions": [[0.6666, 0.6666, 0.0003], [0.9169, 0.4133, 0.2565], [0.3334, 0.3334, 0.9997], [0.5000, 0.5000, 0.5000], [0.0831, 0.5867, 0.7435], [0.4133, 0.9169, 0.2565], [0.5867, 0.5867, 0.7435], [0.5867, 0.0831, 0.7435], [0.4133, 0.4133, 0.2565], [0.0000, 0.0000, 0.0000], [0.8538, 0.8538, 0.4386], [0.1462, 0.1462, 0.5614]], "relative_energy_ev_per_atom": 0.000, "density_g_cm3": 7.190, "e_tot_ev_per_atom": -5.318, "dos_at_fermi_per_ev_cell": 13.0, "formation_enthalpy_0k_mev_per_atom": -169}

Entry 3:
{"formula": "FeTeOs2", "functional": "PBE-GGA", "state": "relaxed", "lattice": [[-1.5178, -0.7178, 2.4271], [0.1157, -2.8467, -0.7696], [6.1682, -0.7334, 3.6403]], "species": ["Os", "Os", "Fe", "Te"], "fractional_positions": [[0.5000, 0.5000, 0.2260], [0.0000, 0.0000, 0.9956], [0.5000, 0.5000, 0.7625], [0.0000, 0.0000, 0.5158]], "density_g_cm3": 14.933, "raw_formation_energy_ev_per_atom": 0.6373, "e_tot_ev_per_atom": -7.879, "dos_at_fermi_per_ev_cell": 4.1}

Entry 4:
{"formula": "Y7SnSe5", "functional": "PBE-GGA", "state": "relaxed", "lattice": [[-1.8476, 1.0545, 3.5497], [4.7671, -4.8825, 1.5194], [16.5519, 17.2418, 3.4932]], "species": ["Se", "Se", "Se", "Se", "Se", "Se", "Se", "Se", "Se", "Se", "Y", "Y", "Y", "Y", "Y", "Y", "Y", "Y", "Y", "Y", "Y", "Y", "Y", "Y", "Sn", "Sn"], "fractional_positions": [[0.5462, 0.0923, 0.1410], [0.4542, 0.9084, 0.6410], [0.4544, 0.9088, 0.8590], [0.7259, 0.4518, 0.5717], [0.2747, 0.5494, 0.4283], [0.2746, 0.5491, 0.0717], [0.5464, 0.0928, 0.3590], [0.0003, 0.0006, 0.5000], [0.0003, 0.0005, 0.0000], [0.7260, 0.4520, 0.9283], [0.6385, 0.2771, 0.4636], [0.5271, 0.0541, 0.7500], [0.8185, 0.6369, 0.8222], [0.8182, 0.6364, 0.6778], [0.4735, 0.9469, 0.2500], [0.0979, 0.1957, 0.6175], [0.0980, 0.1960, 0.8825], [0.1821, 0.3642, 0.1778], [0.9026, 0.8052, 0.1175], [0.9027, 0.8055, 0.3825], [0.3621, 0.7241, 0.5364], [0.6385, 0.2769, 0.0364], [0.1824, 0.3648, 0.3222], [0.3621, 0.7242, 0.9636], [0.1966, 0.3932, 0.7501], [0.8039, 0.6079, 0.2499]], "density_g_cm3": 5.651, "raw_formation_energy_ev_per_atom": -1.5160, "e_tot_ev_per_atom": -6.645, "dos_at_fermi_per_ev_cell": 16.8}

Entry 5:
{"formula": "RbScSi", "functional": "PBE-GGA", "state": "relaxed", "lattice": [[-0.7189, -2.8357, -2.8987], [-2.2018, -3.7879, 4.2516], [-8.3062, 3.4034, -1.2694]], "species": ["Rb", "Rb", "Sc", "Sc", "Si", "Si"], "fractional_positions": [[0.0000, 0.0000, 0.7161], [0.5000, 0.5000, 0.0501], [0.0000, 0.0000, 0.2851], [0.0000, 0.5000, 0.4435], [0.5000, 0.7899, 0.4101], [0.5000, 0.2101, 0.4101]], "relative_energy_ev_per_atom": 0.198, "density_g_cm3": 2.310, "raw_formation_energy_ev_per_atom": -0.0550, "e_tot_ev_per_atom": -4.296, "dos_at_fermi_per_ev_cell": 4.4}

Entry 6:
{"formula": "Mg2CoNi", "functional": "PBE-GGA", "state": "relaxed", "lattice": [[-1.0545, 4.4473, -1.5075], [-3.3456, -0.0021, -3.4598], [0.2732, -2.0479, 4.3468]], "species": ["Ni", "Mg", "Mg", "Co"], "fractional_positions": [[0.5000, 0.5000, 0.0000], [0.0000, 0.0000, 0.0000], [0.2500, 0.7500, 0.5000], [0.7500, 0.2500, 0.5000]], "relative_energy_ev_per_atom": 0.095, "density_g_cm3": 4.790, "e_tot_ev_per_atom": -3.904, "dos_at_fermi_per_ev_cell": 5.6, "formation_enthalpy_0k_mev_per_atom": 115}

Entry 7:
{"formula": "Zr2GePd", "functional": "PBE-GGA", "state": "relaxed", "lattice": [[3.9001, 0.0000, 0.0000], [0.0000, 4.3851, 0.0000], [0.0000, 0.0000, 4.3851]], "species": ["Ge", "Pd", "Zr", "Zr"], "fractional_positions": [[0.5000, 0.0000, 0.0000], [0.5000, 0.5000, 0.5000], [0.0000, 0.5000, 0.0000], [0.0000, 0.0000, 0.5000]], "density_g_cm3": 8.004, "e_tot_ev_per_atom": -7.331, "dos_at_fermi_per_ev_cell": 3.9, "formation_enthalpy_0k_mev_per_atom": -605}

Entry 8:
{"formula": "Ca3ZnAu2", "functional": "PBE-GGA", "state": "relaxed", "lattice": [[-1.5348, -2.8094, -3.1435], [-3.2379, -7.6270, 8.3970], [-10.6768, 5.1774, 0.5857]], "species": ["Au", "Au", "Au", "Au", "Au", "Au", "Au", "Au", "Ca", "Ca", "Ca", "Ca", "Ca", "Ca", "Ca", "Ca", "Ca", "Ca", "Ca", "Ca", "Zn", "Zn", "Zn", "Zn"], "fractional_positions": [[0.2500, 0.8165, 0.9787], [0.2500, 0.6835, 0.4787], [0.2500, 0.5023, 0.8095], [0.7500, 0.4977, 0.1905], [0.2500, 0.9977, 0.3095], [0.7500, 0.1835, 0.0213], [0.7500, 0.3165, 0.5213], [0.7500, 0.0023, 0.6905], [0.7500, 0.1956, 0.2908], [0.2500, 0.0662, 0.8748], [0.2500, 0.4338, 0.3748], [0.2500, 0.3759, 0.0479], [0.7500, 0.5662, 0.6252], [0.7500, 0.8759, 0.4521], [0.2500, 0.6956, 0.2092], [0.7500, 0.6241, 0.9521], [0.7500, 0.3044, 0.7908], [0.7500, 0.9338, 0.1252], [0.2500, 0.1241, 0.5479], [0.2500, 0.8044, 0.7092], [0.2500, 0.1270, 0.1277], [0.7500, 0.6270, 0.3723], [0.7500, 0.8730, 0.8723], [0.2500, 0.3730, 0.6277]], "relative_energy_ev_per_atom": 0.000, "density_g_cm3": 6.122, "e_tot_ev_per_atom": -2.932, "dos_at_fermi_per_ev_cell": 14.4, "formation_enthalpy_0k_mev_per_atom": -626}